(1)
Computed, not measured: a relaxed structure of NaPm2TlO5 at the GGA-PBE level of DFT.

Unit cell a=6.7863 b=6.7863 c=12.4309 alpha=90.00 beta=90.00 gamma=90.00
Space group I4/mcm (No. 140)
Symmetry-distinct sites (fractional):
Na: 0.0000 0.0000 0.2500 [4 per cell]
Pm: 0.1765 0.3235 0.0000 [8 per cell]
Tl: 0.0000 0.5000 0.2500 [4 per cell]
O: 0.0000 0.0000 0.0000 [4 per cell]
O: 0.1446 0.3554 0.3803 [16 per cell]

Properties
**Formation energy without anion corrections**: -19.5 eV per formula unit

(2)
Computed, not measured: a relaxed structure of Ga2Pt3Rh at the GGA-PBE level of DFT.

Unit cell a=7.3750 b=10.3718 c=5.4817 alpha=90.00 beta=90.00 gamma=90.00
Space group Ibam (No. 72)
Symmetry-distinct sites (fractional):
Ga: 0.2202 0.1362 0.0000 [8 per cell]
Pt: 0.0000 0.0000 0.2500 [4 per cell]
Pt: 0.0000 0.2753 0.2500 [8 per cell]
Rh: 0.0000 0.5000 0.0000 [4 per cell]

Properties
**Formation enthalpy at 0 K**: -0.344 eV per atom

(3)
Computed, not measured: a relaxed structure of ScBe4Pb at the GGA-PBE level of DFT.

Unit cell a=6.9720 b=6.9720 c=6.9720 alpha=90.00 beta=90.00 gamma=90.00
Space group F-43m (No. 216)
Symmetry-distinct sites (fractional):
Sc: 0.0000 0.0000 0.0000 [4 per cell]
Be: 0.1345 0.1345 0.6345 [16 per cell]
Pb: 0.2500 0.2500 0.2500 [4 per cell]

Properties
**Formation enthalpy at 0 K**: 0.299 eV per atom

(4)
Computed, not measured: a relaxed structure of NdGdTh2 at the GGA-PBE level of DFT.

Unit cell a=5.0326 b=5.0326 c=5.1787 alpha=90.00 beta=90.00 gamma=90.00
Space group P4/mmm (No. 123)
Symmetry-distinct sites (fractional):
Nd: 0.0000 0.0000 0.0000 [1 per cell]
Gd: 0.5000 0.5000 0.0000 [1 per cell]
Th: 0.0000 0.5000 0.5000 [2 per cell]

Properties
**Formation enthalpy at 0 K**: 0.070 eV per atom

(5)
Computed, not measured: a relaxed structure of Hg3Au at the GGA-PBE level of DFT.

Unit cell a=4.4806 b=4.4806 c=4.4806 alpha=90.00 beta=90.00 gamma=90.00
Space group Pm-3m (No. 221)
Symmetry-distinct sites (fractional):
Hg: 0.0000 0.0000 0.5000 [3 per cell]
Au: 0.5000 0.5000 0.5000 [1 per cell]

Properties
**Formation enthalpy at 0 K**: 0.154 eV per atom

(6)
Computed, not measured: a relaxed structure of Ti4Ga2Ge at the GGA-PBE level of DFT.

Unit cell a=4.8130 b=5.3120 c=9.1125 alpha=90.00 beta=100.25 gamma=90.00
Space group P2_1/m (No. 11)
Symmetry-distinct sites (fractional):
Ti: 0.1353 0.2500 0.1165 [2 per cell]
Ti: 0.2350 0.7500 0.4456 [2 per cell]
Ti: 0.3313 0.5031 0.7256 [4 per cell]
Ga: 0.2214 0.2500 0.4264 [2 per cell]
Ga: 0.4116 0.7500 0.9947 [2 per cell]
Ge: 0.0902 0.7500 0.1706 [2 per cell]

Properties
**Formation enthalpy at 0 K**: -0.378 eV per atom

Short version: size of the total moment = 0.00; 0.00; 0.00; 7.11; 0.00; 0.00 μB per formula unit, in the order given.